VASP calculation (PBE) on a geometry-optimized Pr8TlRh2 structure.

a = 5.7307 Å, b = 8.3244 Å, c = 8.3244 Å
α = 115.84°, β = 98.02°, γ = 98.02°
Fractional coordinates of all 11 atoms:
Pr (0.9388, 0.9165, 0.6670)
Pr (0.9388, 0.6670, 0.9165)
Pr (0.3078, 0.6044, 0.6044)
Pr (0.5000, 0.7549, 0.2451)
Pr (0.5000, 0.2451, 0.7549)
Pr (0.6922, 0.3956, 0.3956)
Pr (0.0612, 0.3330, 0.0835)
Pr (0.0612, 0.0835, 0.3330)
Tl (0.5000, 0.0000, 0.0000)
Rh (0.0000, 0.2906, 0.7094)
Rh (0.0000, 0.7094, 0.2906)

- E: -58.28 eV/cell
- Energy of formation: -270 meV per atom

---

VASP calculation (PBE) on a geometry-optimized Ba2ZnSnHg6 structure.

a = 7.7941 Å, b = 8.0927 Å, c = 9.7834 Å
α = 90.00°, β = 90.00°, γ = 90.00°
Fractional coordinates of all 20 atoms:
Ba (0.5000, 0.7470, 0.2642)
Ba (0.0000, 0.2530, 0.7642)
Ba (0.5000, 0.7470, 0.7358)
Ba (0.0000, 0.2530, 0.2358)
Zn (0.5000, 0.0816, 0.5000)
Zn (0.0000, 0.9184, 0.0000)
Sn (0.0000, 0.5877, 0.5000)
Sn (0.5000, 0.4123, 0.0000)
Hg (0.5000, 0.2217, 0.2506)
Hg (0.5000, 0.2217, 0.7494)
Hg (0.0000, 0.7783, 0.2494)
Hg (0.0000, 0.7783, 0.7506)
Hg (0.1881, 0.9610, 0.5000)
Hg (0.8119, 0.9610, 0.5000)
Hg (0.3138, 0.4059, 0.5000)
Hg (0.6862, 0.4059, 0.5000)
Hg (0.8138, 0.5941, 0.0000)
Hg (0.1862, 0.5941, 0.0000)
Hg (0.3119, 0.0390, 0.0000)
Hg (0.6881, 0.0390, 0.0000)

- E: -27.34 eV/cell
- Energy of formation: -274 meV per atom

---

VASP calculation (PBE) on a geometry-optimized AlCuSe2 structure.

a = 7.3397 Å, b = 7.3397 Å, c = 7.3397 Å
α = 153.12°, β = 152.04°, γ = 39.17°
Fractional coordinates of all 4 atoms:
Cu (0.2362, 0.7362, 0.5000)
Se (0.9868, 0.9868, 0.0000)
Se (0.7195, 0.2195, 0.5000)
Al (0.5575, 0.5575, 0.0000)

- E: -15.65 eV/cell
- Raw formation energy: -211 meV per atom

---

VASP calculation (PBE) on a geometry-optimized Pm2AuSe structure.

a = 5.2065 Å, b = 5.2065 Å, c = 5.2065 Å
α = 60.00°, β = 60.00°, γ = 60.00°
Fractional coordinates of all 4 atoms:
Au (0.0000, 0.0000, 0.0000)
Se (0.5000, 0.5000, 0.5000)
Pm (0.2500, 0.2500, 0.2500)
Pm (0.7500, 0.7500, 0.7500)

- E: -20.22 eV/cell
- Raw formation energy: -989 meV per atom

---

VASP calculation (PBE) on a geometry-optimized Ca5In2As6 structure.

a = 4.3165 Å, b = 11.5112 Å, c = 13.5102 Å
α = 90.00°, β = 90.00°, γ = 90.00°
Fractional coordinates of all 26 atoms:
Ca (0.5000, 0.3215, 0.4875)
Ca (0.5000, 0.6785, 0.5125)
Ca (0.5000, 0.8215, 0.0125)
Ca (0.5000, 0.1785, 0.9875)
Ca (0.5000, 0.5897, 0.2504)
Ca (0.5000, 0.4103, 0.7496)
Ca (0.5000, 0.0897, 0.2496)
Ca (0.5000, 0.9103, 0.7504)
Ca (0.5000, 0.5000, 0.0000)
Ca (0.5000, 0.0000, 0.5000)
In (0.0000, 0.3352, 0.2846)
In (0.0000, 0.6648, 0.7154)
In (0.0000, 0.8352, 0.2154)
In (0.0000, 0.1648, 0.7846)
As (0.0000, 0.1504, 0.4036)
As (0.0000, 0.8496, 0.5964)
As (0.0000, 0.6504, 0.0964)
As (0.0000, 0.3496, 0.9036)
As (0.5000, 0.3386, 0.1707)
As (0.5000, 0.6614, 0.8293)
As (0.5000, 0.8386, 0.3293)
As (0.5000, 0.1614, 0.6707)
As (0.0000, 0.5323, 0.4100)
As (0.0000, 0.4677, 0.5900)
As (0.0000, 0.0323, 0.0900)
As (0.0000, 0.9677, 0.9100)

- E: -110.61 eV/cell
- Energy of formation: -917 meV per atom

---

VASP calculation (PBE) on a geometry-optimized Zn10PtAu6 structure.

a = 5.3689 Å, b = 7.7395 Å, c = 7.7395 Å
α = 120.00°, β = 90.00°, γ = 90.00°
Fractional coordinates of all 17 atoms:
Zn (0.7955, 0.7357, 0.7357)
Zn (0.7955, 0.0000, 0.2643)
Zn (0.7955, 0.2643, 0.0000)
Zn (0.2045, 0.2643, 0.2643)
Zn (0.2045, 0.0000, 0.7357)
Zn (0.2045, 0.7357, 0.0000)
Zn (0.5000, 0.3333, 0.6667)
Zn (0.5000, 0.6667, 0.3333)
Zn (0.0000, 0.6667, 0.3333)
Zn (0.0000, 0.3333, 0.6667)
Pt (0.5000, 0.0000, 0.0000)
Au (0.7293, 0.3849, 0.3849)
Au (0.7293, 0.0000, 0.6151)
Au (0.7293, 0.6151, 0.0000)
Au (0.2707, 0.6151, 0.6151)
Au (0.2707, 0.0000, 0.3849)
Au (0.2707, 0.3849, 0.0000)

- E: -42.08 eV/cell
- Energy of formation: -214 meV per atom

---

VASP calculation (PBE) on a geometry-optimized CaHgSb3 structure.

a = 5.5869 Å, b = 5.5869 Å, c = 5.5869 Å
α = 90.00°, β = 90.00°, γ = 90.00°
Fractional coordinates of all 5 atoms:
Sb (0.0000, 0.5000, 0.0000)
Sb (0.0000, 0.0000, 0.5000)
Sb (0.5000, 0.0000, 0.0000)
Ca (0.5000, 0.5000, 0.5000)
Hg (0.0000, 0.0000, 0.0000)

- E: -13.18 eV/cell
- Raw formation energy: 297 meV per atom

---

VASP calculation (PBE) on a geometry-optimized Ho4PS3 structure.

a = 5.5251 Å, b = 5.5251 Å, c = 5.5251 Å
α = 90.00°, β = 90.00°, γ = 90.00°
Fractional coordinates of all 8 atoms:
Ho (0.5000, 0.0000, 0.0000)
Ho (0.0000, 0.5000, 0.0000)
Ho (0.0000, 0.0000, 0.5000)
Ho (0.5000, 0.5000, 0.5000)
P (0.0000, 0.0000, 0.0000)
S (0.0000, 0.5000, 0.5000)
S (0.5000, 0.0000, 0.5000)
S (0.5000, 0.5000, 0.0000)

- E: -51.60 eV/cell
- Raw formation energy: -1936 meV per atom

---

VASP calculation (PBE) on a geometry-optimized CuSiCl2 structure.

a = 8.0324 Å, b = 8.0324 Å, c = 8.0324 Å
α = 23.86°, β = 23.86°, γ = 23.86°
Fractional coordinates of all 4 atoms:
Cl (0.9825, 0.9825, 0.9825)
Cl (0.5175, 0.5175, 0.5175)
Cu (0.2500, 0.2500, 0.2500)
Si (0.7500, 0.7500, 0.7500)

- E: -12.94 eV/cell
- Raw formation energy: 68 meV per atom

---

VASP calculation (PBE) on a geometry-optimized BaAgRu2 structure.

a = 4.3424 Å, b = 4.3424 Å, c = 6.4916 Å
α = 70.42°, β = 70.42°, γ = 59.99°
Fractional coordinates of all 4 atoms:
Ag (0.4588, 0.4588, 0.6238)
Ba (0.2552, 0.2552, 0.2348)
Ru (0.0573, 0.0573, 0.8278)
Ru (0.7287, 0.7287, 0.8136)

- E: -22.13 eV/cell
- Energy of formation: 299 meV per atom

---

VASP calculation (PBE) on a geometry-optimized InBPS2 structure.

a = 4.6743 Å, b = 4.6743 Å, c = 3.7746 Å
α = 90.00°, β = 90.00°, γ = 90.00°
Fractional coordinates of all 5 atoms:
P (0.0000, 0.0000, 0.5000)
S (0.0000, 0.5000, 0.0000)
S (0.5000, 0.0000, 0.0000)
B (0.0000, 0.0000, 0.0000)
In (0.5000, 0.5000, 0.5000)

- E: -20.30 eV/cell
- Raw formation energy: 556 meV per atom

---

VASP calculation (PBE) on a geometry-optimized Pm3In7Ni4 structure.

a = 4.3790 Å, b = 8.5422 Å, c = 8.9354 Å
α = 69.59°, β = 75.82°, γ = 75.15°
Fractional coordinates of all 14 atoms:
Pm (0.3109, 0.1794, 0.1987)
Pm (0.6891, 0.8206, 0.8013)
Pm (0.0000, 0.5000, 0.5000)
In (0.3170, 0.8350, 0.5311)
In (0.4936, 0.2351, 0.7777)
In (0.8357, 0.4045, 0.9242)
In (0.6830, 0.1650, 0.4689)
In (0.1643, 0.5955, 0.0758)
In (0.0000, 0.0000, 0.0000)
In (0.5064, 0.7649, 0.2223)
Ni (0.6654, 0.4449, 0.2244)
Ni (0.3346, 0.5551, 0.7756)
Ni (0.8818, 0.8987, 0.3376)
Ni (0.1182, 0.1013, 0.6624)

- E: -61.77 eV/cell
- Energy of formation: -373 meV per atom

---

VASP calculation (PBE) on a geometry-optimized SrCd2As structure.

a = 5.1281 Å, b = 6.8740 Å, c = 3.4396 Å
α = 75.67°, β = 89.58°, γ = 111.79°
Fractional coordinates of all 4 atoms:
Sr (0.0000, 0.5000, 0.5000)
As (0.5000, 0.5000, 0.0000)
Cd (0.0000, 0.0000, 0.0000)
Cd (0.5000, 0.0000, 0.5000)

- E: -9.16 eV/cell
- Energy of formation: -248 meV per atom

---

VASP calculation (PBE) on a geometry-optimized TePt structure.

a = 6.1685 Å, b = 6.1685 Å, c = 6.1685 Å
α = 43.71°, β = 43.71°, γ = 43.71°
Fractional coordinates of all 4 atoms:
Pt (0.0826, 0.0826, 0.0826)
Pt (0.9174, 0.9174, 0.9174)
Te (0.2430, 0.2430, 0.2430)
Te (0.7570, 0.7570, 0.7570)

- E: -19.04 eV/cell
- Raw formation energy: -169 meV per atom

---

VASP calculation (PBE) on a geometry-optimized KTl2IO structure.

a = 5.4216 Å, b = 6.6038 Å, c = 12.1844 Å
α = 90.00°, β = 90.00°, γ = 114.24°
Fractional coordinates of all 10 atoms:
K (0.4263, 0.8526, 0.7500)
K (0.5737, 0.1474, 0.2500)
Tl (0.1740, 0.3480, 0.9583)
Tl (0.8260, 0.6520, 0.0417)
Tl (0.1740, 0.3480, 0.5417)
Tl (0.8260, 0.6520, 0.4583)
I (0.7185, 0.4370, 0.7500)
I (0.2815, 0.5630, 0.2500)
O (0.0000, 0.0000, 0.0000)
O (0.0000, 0.0000, 0.5000)

- E: -32.08 eV/cell
- Raw formation energy: -740 meV per atom

---

VASP calculation (PBE) on a geometry-optimized RbTl2ZnPd structure.

a = 5.4544 Å, b = 5.4544 Å, c = 5.1068 Å
α = 90.00°, β = 90.00°, γ = 90.00°
Fractional coordinates of all 5 atoms:
Zn (0.0000, 0.0000, 0.5000)
Tl (0.0000, 0.5000, 0.0000)
Tl (0.5000, 0.0000, 0.0000)
Rb (0.5000, 0.5000, 0.5000)
Pd (0.0000, 0.0000, 0.0000)

- E: -12.52 eV/cell
- Energy of formation: -71 meV per atom

---

VASP calculation (PBE) on a geometry-optimized PrPuGe2 structure.

a = 4.0175 Å, b = 5.9542 Å, c = 8.3184 Å
α = 90.00°, β = 90.00°, γ = 90.00°
Fractional coordinates of all 8 atoms:
Pr (0.5000, 0.3637, 0.3182)
Pr (0.5000, 0.6363, 0.8182)
Pu (0.0000, 0.1358, 0.6818)
Pu (0.0000, 0.8642, 0.1818)
Ge (0.0000, 0.6175, 0.5350)
Ge (0.0000, 0.3825, 0.0350)
Ge (0.5000, 0.8872, 0.4649)
Ge (0.5000, 0.1128, 0.9649)

- E: -61.44 eV/cell
- Energy of formation: -594 meV per atom